! Sb2AsOs PBE optimized geometry; values from VASP
! * raw formation energy: 38 kJ per mole of atoms
! * total DFT energy (no corrections): -45.08 eV/cell
&SYSTEM
  ibrav = 0, nat = 8, ntyp = 3
/
ATOMIC_SPECIES
Sb 121.76 Sb.upf
As 74.92 As.upf
Os 190.23 Os.upf
CELL_PARAMETERS angstrom
3.2195 0.0000 0.0000
0.0000 4.3810 0.0000
0.0000 0.0000 12.5993
ATOMIC_POSITIONS crystal
Sb 0.0000 0.0000 0.1775
Sb 0.0000 0.0000 0.8225
Sb 0.5000 0.5000 0.3225
Sb 0.5000 0.5000 0.6775
As 0.0000 0.5000 0.0000
As 0.5000 0.0000 0.5000
Os 0.0000 0.5000 0.5000
Os 0.5000 0.0000 0.0000

! SbAs2Os PBE optimized geometry; values from VASP
! * raw formation energy: 38 kJ per mole of atoms
! * total DFT energy (no corrections): -46.17 eV/cell
&SYSTEM
  ibrav = 0, nat = 8, ntyp = 3
/
ATOMIC_SPECIES
Sb 121.76 Sb.upf
As 74.92 As.upf
Os 190.23 Os.upf
CELL_PARAMETERS angstrom
3.0836 0.0000 0.0000
0.0000 4.7902 0.0000
0.0000 0.0000 11.0063
ATOMIC_POSITIONS crystal
Sb 0.0000 0.0000 0.0000
Sb 0.5000 0.5000 0.5000
As 0.0000 0.5000 0.1877
As 0.0000 0.5000 0.8123
As 0.5000 0.0000 0.3123
As 0.5000 0.0000 0.6877
Os 0.0000 0.0000 0.5000
Os 0.5000 0.5000 0.0000

! SbAs2Os PBE optimized geometry; values from VASP
! * raw formation energy: 72 kJ per mole of atoms
! * total DFT energy (no corrections): -43.34 eV/cell
&SYSTEM
  ibrav = 0, nat = 8, ntyp = 3
/
ATOMIC_SPECIES
Sb 121.76 Sb.upf
As 74.92 As.upf
Os 190.23 Os.upf
CELL_PARAMETERS angstrom
5.9177 0.0000 0.0000
0.0000 7.5832 0.0000
0.0000 0.0000 3.2926
ATOMIC_POSITIONS crystal
Sb 0.0000 0.0000 0.0000
Sb 0.5000 0.5000 0.0000
As 0.2500 0.2500 0.5000
As 0.2500 0.7500 0.5000
As 0.7500 0.2500 0.5000
As 0.7500 0.7500 0.5000
Os 0.0000 0.5000 0.0000
Os 0.5000 0.0000 0.0000

! SbAsOs PBE optimized geometry; values from VASP
! * raw formation energy: 50 kJ per mole of atoms
! * distance to the lowest polymorph of the same formula: 617 meV/atom
! * total DFT energy (no corrections): -73.83 eV/cell
&SYSTEM
  ibrav = 0, nat = 12, ntyp = 3
/
ATOMIC_SPECIES
Sb 121.76 Sb.upf
As 74.92 As.upf
Os 190.23 Os.upf
CELL_PARAMETERS angstrom
3.0654 0.0000 0.0000
0.0000 5.2984 0.0000
0.0000 0.0000 15.6719
ATOMIC_POSITIONS crystal
Sb 0.0000 0.0000 0.0000
Sb 0.0000 0.5000 0.5000
Sb 0.5000 0.0000 0.5000
Sb 0.5000 0.5000 0.0000
As 0.0000 0.0000 0.2707
As 0.0000 0.5000 0.7707
As 0.5000 0.0000 0.7707
As 0.5000 0.5000 0.2707
Os 0.0000 0.0000 0.6479
Os 0.0000 0.5000 0.1479
Os 0.5000 0.0000 0.1479
Os 0.5000 0.5000 0.6479

! SbAs2Os PBE optimized geometry; values from VASP
! * raw formation energy: 17 kJ per mole of atoms
! * total DFT energy (no corrections): -47.87 eV/cell
&SYSTEM
  ibrav = 0, nat = 8, ntyp = 3
/
ATOMIC_SPECIES
Sb 121.76 Sb.upf
As 74.92 As.upf
Os 190.23 Os.upf
CELL_PARAMETERS angstrom
7.2079 0.0000 0.0000
0.0000 3.0531 0.0000
-2.4302 0.0000 8.3326
ATOMIC_POSITIONS crystal
Sb 0.0000 0.0000 0.0000
Sb 0.5000 0.5000 0.0000
As 0.1512 0.0000 0.3413
As 0.3488 0.5000 0.6587
As 0.6512 0.5000 0.3413
As 0.8488 0.0000 0.6587
Os 0.0000 0.5000 0.5000
Os 0.5000 0.0000 0.5000

! SbAs2Os PBE optimized geometry; values from VASP
! * raw formation energy: 20 kJ per mole of atoms
! * total DFT energy (no corrections): -47.68 eV/cell
&SYSTEM
  ibrav = 0, nat = 8, ntyp = 3
/
ATOMIC_SPECIES
Sb 121.76 Sb.upf
As 74.92 As.upf
Os 190.23 Os.upf
CELL_PARAMETERS angstrom
8.8416 0.0000 0.0000
0.0000 3.2090 0.0000
-2.0338 0.0000 5.8794
ATOMIC_POSITIONS crystal
Sb 0.0000 0.0000 0.0000
Sb 0.5000 0.5000 0.0000
As 0.2091 0.0000 0.7334
As 0.3504 0.0000 0.4090
As 0.7091 0.5000 0.7334
As 0.8504 0.5000 0.4090
Os 0.1259 0.5000 0.3809
Os 0.6259 0.0000 0.3809

! Sb2AsOs PBE optimized geometry; values from VASP
! * raw formation energy: 62 kJ per mole of atoms
! * total DFT energy (no corrections): -43.13 eV/cell
&SYSTEM
  ibrav = 0, nat = 8, ntyp = 3
/
ATOMIC_SPECIES
Sb 121.76 Sb.upf
As 74.92 As.upf
Os 190.23 Os.upf
CELL_PARAMETERS angstrom
4.5458 0.0000 0.0000
0.0000 4.5458 0.0000
0.0000 0.0000 7.7195
ATOMIC_POSITIONS crystal
Sb 0.0000 0.5000 0.2500
Sb 0.0000 0.5000 0.7500
Sb 0.5000 0.0000 0.2500
Sb 0.5000 0.0000 0.7500
As 0.0000 0.0000 0.0000
As 0.5000 0.5000 0.5000
Os 0.0000 0.0000 0.5000
Os 0.5000 0.5000 0.0000

! SbAsOs PBE optimized geometry; values from VASP
! * raw formation energy: 19 kJ per mole of atoms
! * distance to the lowest polymorph of the same formula: 302 meV/atom
! * total DFT energy (no corrections): -38.80 eV/cell
&SYSTEM
  ibrav = 0, nat = 6, ntyp = 3
/
ATOMIC_SPECIES
Sb 121.76 Sb.upf
As 74.92 As.upf
Os 190.23 Os.upf
CELL_PARAMETERS angstrom
3.0760 0.0000 0.0000
0.0000 3.0760 0.0000
0.0000 0.0000 12.7713
ATOMIC_POSITIONS crystal
Sb 0.0000 0.0000 0.0000
Sb 0.5000 0.5000 0.5000
As 0.0000 0.0000 0.2625
As 0.5000 0.5000 0.7625
Os 0.0000 0.0000 0.6480
Os 0.5000 0.5000 0.1480

! Sb2AsOs PBE optimized geometry; values from VASP
! * raw formation energy: 37 kJ per mole of atoms
! * total DFT energy (no corrections): -22.61 eV/cell
&SYSTEM
  ibrav = 0, nat = 4, ntyp = 3
/
ATOMIC_SPECIES
Sb 121.76 Sb.upf
As 74.92 As.upf
Os 190.23 Os.upf
CELL_PARAMETERS angstrom
3.1180 0.0000 0.0000
0.0000 3.1767 0.0000
-1.1806 0.0000 8.8630
ATOMIC_POSITIONS crystal
Sb 0.0682 0.0000 0.1968
Sb 0.9318 0.0000 0.8032
As 0.0000 0.5000 0.5000
Os 0.5000 0.5000 0.0000

! SbAs2Os PBE optimized geometry; values from VASP
! * raw formation energy: 13 kJ per mole of atoms
! * total DFT energy (no corrections): -24.13 eV/cell
&SYSTEM
  ibrav = 0, nat = 4, ntyp = 3
/
ATOMIC_SPECIES
Sb 121.76 Sb.upf
As 74.92 As.upf
Os 190.23 Os.upf
CELL_PARAMETERS angstrom
5.3248 0.0000 0.0000
0.0000 3.0940 0.0000
-2.4186 0.0000 4.7880
ATOMIC_POSITIONS crystal
Sb 0.0000 0.0000 0.0000
As 0.3072 0.5000 0.5839
As 0.6928 0.5000 0.4161
Os 0.5000 0.0000 0.0000

! Sb2AsOs PBE optimized geometry; values from VASP
! * raw formation energy: 25 kJ per mole of atoms
! * total DFT energy (no corrections): -46.15 eV/cell
&SYSTEM
  ibrav = 0, nat = 8, ntyp = 3
/
ATOMIC_SPECIES
Sb 121.76 Sb.upf
As 74.92 As.upf
Os 190.23 Os.upf
CELL_PARAMETERS angstrom
4.4893 0.0000 0.0000
0.0000 5.1474 0.0000
0.0000 0.0000 7.7132
ATOMIC_POSITIONS crystal
Sb 0.0000 0.0000 0.0000
Sb 0.0000 0.5000 0.5000
Sb 0.5000 0.0000 0.3876
Sb 0.5000 0.5000 0.8876
As 0.0000 0.0000 0.6331
As 0.0000 0.5000 0.1331
Os 0.5000 0.0000 0.7868
Os 0.5000 0.5000 0.2868

! SbAsOs PBE optimized geometry; values from VASP
! * raw formation energy: -6 kJ per mole of atoms
! * distance to the lowest polymorph of the same formula: 45 meV/atom
! * total DFT energy (no corrections): -80.69 eV/cell
&SYSTEM
  ibrav = 0, nat = 12, ntyp = 3
/
ATOMIC_SPECIES
Sb 121.76 Sb.upf
As 74.92 As.upf
Os 190.23 Os.upf
CELL_PARAMETERS angstrom
6.4882 0.0000 0.0000
0.0000 6.3542 0.0000
-2.7899 0.0000 5.9384
ATOMIC_POSITIONS crystal
Sb 0.1446 0.1273 0.3693
Sb 0.1446 0.3727 0.8693
Sb 0.8554 0.6273 0.1307
Sb 0.8554 0.8727 0.6307
As 0.3449 0.6396 0.6769
As 0.3449 0.8604 0.1769
As 0.6551 0.1396 0.8231
As 0.6551 0.3604 0.3231
Os 0.2957 0.5044 0.3098
Os 0.2957 0.9956 0.8098
Os 0.7043 0.0044 0.1902
Os 0.7043 0.4956 0.6902

Question: Which formula does entry 8 have?
Answer: SbAsOs